NaP2PtO | GGA-PBE | relaxed

Summary:
- Calculated density: 5.7 g/cm³
- Fermi-level density of states: 3.7 states/eV/f.u.
- Energy relative to the elements, uncorrected: 1.299 eV per atom
- Spin magnetization: 0.00 μB per formula unit

Lattice parameters (Å, degrees): 4.7827 4.7827 3.7718 90.00 90.00 90.00
Closest atoms and distances in Å follow each position.
Atoms (fractional coordinates):
1 Na 0.0000 0.0000 0.0000  2 O 1.89
2 P 0.0000 0.5000 0.0000  2 Na 2.39
3 P 0.5000 0.0000 0.0000  2 Na 2.39
4 Pt 0.5000 0.5000 0.5000  8 P 3.05, 4 O 3.38
5 O 0.0000 0.0000 0.5000  2 Na 1.89

Ac6Pr3Dy2 | GGA-PBE | relaxed

Summary:
- Calculated density: 8.0 g/cm³
- ΔE_f: 0.04 eV/atom
- Fermi-level density of states: 19.7 states/eV/f.u.
- Spin magnetization: 0.00 μB per formula unit

Lattice parameters (Å, degrees): 6.6295 8.5793 8.5903 107.27 97.69 104.92
Closest atoms and distances in Å follow each position.
Atoms (fractional coordinates):
1 Ac 0.0538 0.1809 0.4032  2 Dy 3.77-3.81, 5 Pr 3.78-3.90, 5 Ac 3.81-3.93
2 Ac 0.1361 0.5487 0.2311  4 Pr 3.81-3.89, 6 Ac 3.81-3.89, 2 Dy 3.86-3.90
3 Ac 0.3209 0.2649 0.8698  3 Dy 3.71-3.84, 3 Pr 3.75-3.96, 6 Ac 3.81-3.93
4 Ac 0.6791 0.7351 0.1302  3 Dy 3.71-3.84, 3 Pr 3.75-3.96, 6 Ac 3.81-3.93
5 Ac 0.8639 0.4513 0.7689  4 Pr 3.81-3.89, 6 Ac 3.81-3.89, 2 Dy 3.86-3.90
6 Ac 0.9462 0.8191 0.5968  2 Dy 3.77-3.81, 5 Pr 3.78-3.90, 5 Ac 3.81-3.93
7 Pr 0.4070 0.6441 0.6865  8 Ac 3.75-3.96, 2 Dy 3.75-3.79, 2 Pr 3.80-3.98
8 Pr 0.5000 0.0000 0.5000  8 Ac 3.78-3.90, 2 Pr 3.80, 2 Dy 3.83
9 Pr 0.5930 0.3559 0.3135  8 Ac 3.75-3.96, 2 Dy 3.75-3.79, 2 Pr 3.80-3.98
10 Dy 0.2311 0.9136 0.0462  7 Ac 3.71-3.90, 3 Pr 3.75-3.83, 2 Dy 3.78-3.82
11 Dy 0.7689 0.0864 0.9538  7 Ac 3.71-3.90, 3 Pr 3.75-3.83, 2 Dy 3.78-3.82

Question: Which of these has the lowest calculated density?
Answer: NaP2PtO

What did the second record say?
Ac6Pr3Dy2 | GGA-PBE | relaxed

Summary:
- Calculated density: 8.0 g/cm³
- ΔE_f: 0.04 eV/atom
- Fermi-level density of states: 19.7 states/eV/f.u.
- Spin magnetization: 0.00 μB per formula unit

Lattice parameters (Å, degrees): 6.6295 8.5793 8.5903 107.27 97.69 104.92
Closest atoms and distances in Å follow each position.
Atoms (fractional coordinates):
1 Ac 0.0538 0.1809 0.4032  2 Dy 3.77-3.81, 5 Pr 3.78-3.90, 5 Ac 3.81-3.93
2 Ac 0.1361 0.5487 0.2311  4 Pr 3.81-3.89, 6 Ac 3.81-3.89, 2 Dy 3.86-3.90
3 Ac 0.3209 0.2649 0.8698  3 Dy 3.71-3.84, 3 Pr 3.75-3.96, 6 Ac 3.81-3.93
4 Ac 0.6791 0.7351 0.1302  3 Dy 3.71-3.84, 3 Pr 3.75-3.96, 6 Ac 3.81-3.93
5 Ac 0.8639 0.4513 0.7689  4 Pr 3.81-3.89, 6 Ac 3.81-3.89, 2 Dy 3.86-3.90
6 Ac 0.9462 0.8191 0.5968  2 Dy 3.77-3.81, 5 Pr 3.78-3.90, 5 Ac 3.81-3.93
7 Pr 0.4070 0.6441 0.6865  8 Ac 3.75-3.96, 2 Dy 3.75-3.79, 2 Pr 3.80-3.98
8 Pr 0.5000 0.0000 0.5000  8 Ac 3.78-3.90, 2 Pr 3.80, 2 Dy 3.83
9 Pr 0.5930 0.3559 0.3135  8 Ac 3.75-3.96, 2 Dy 3.75-3.79, 2 Pr 3.80-3.98
10 Dy 0.2311 0.9136 0.0462  7 Ac 3.71-3.90, 3 Pr 3.75-3.83, 2 Dy 3.78-3.82
11 Dy 0.7689 0.0864 0.9538  7 Ac 3.71-3.90, 3 Pr 3.75-3.83, 2 Dy 3.78-3.82